## RhNO2F (PBE)

Data for RhNO2F after structural relaxation.

abc: 3.8244 3.8244 3.8244
angles: 90.00 90.00 90.00
Last column: nearest neighbours and their distance in Å.
Fractional coordinates of all 5 atoms:
O1 0.5000 0.0000 0.0000  2 Rh 1.91
O2 0.0000 0.5000 0.0000  2 Rh 1.91
Rh1 0.0000 0.0000 0.0000  2 N 1.91, 4 O 1.91
F1 0.5000 0.5000 0.5000  8 O 2.70, 4 N 2.70
N1 0.0000 0.0000 0.5000  2 Rh 1.91

Results
E_tot	-4.86	eV/atom
density	4.98	g/cm³